A crystal of Sr2CoRuO6 relaxed with PBEsol, computed with meta-GGA SCAN.

Summary:
The value obtained for the raw total energy is -15.53 eV/atom. Its formation energy (no corrections) is -2.119 eV/atom.

Unit cell a=5.4545 b=5.4545 c=13.0947 alpha=90.00 beta=90.00 gamma=120.00
Last column: nearest neighbours and their distance in Å.
Space group R-3 (No. 148, hexagonal axes)
Symmetry-distinct sites (fractional):
Sr 0.0000 0.0000 0.2493 (multiplicity 6)  9 O 2.47-2.71
Co 0.0000 0.0000 0.0000 (multiplicity 3)  6 O 1.91
Ru 0.0000 0.0000 0.5000 (multiplicity 3)  6 O 1.95
O 0.0035 0.4547 0.7491 (multiplicity 18)  1 Co 1.91, 1 Ru 1.95

A crystal of CoSO4 relaxed with PBEsol, computed with meta-GGA SCAN.

Summary:
The value obtained for the raw total energy is -10.15 eV/atom. Its formation energy (no corrections) is -1.509 eV/atom.

Unit cell a=8.5589 b=6.6011 c=4.7351 alpha=90.00 beta=90.00 gamma=90.00
Last column: nearest neighbours and their distance in Å.
Space group Pnma (No. 62)
Symmetry-distinct sites (fractional):
Co 0.0000 0.0000 0.0000 (multiplicity 4)  4 O 1.95-2.08
S 0.1779 0.2500 0.4738 (multiplicity 4)  4 O 1.47-1.51
O 0.1239 0.0627 0.3356 (multiplicity 8)  1 S 1.47
O 0.1237 0.2500 0.7733 (multiplicity 4)  1 S 1.49
O 0.1455 0.7500 0.9556 (multiplicity 4)  1 S 1.51

A crystal of CoSO2 relaxed with PBEsol, computed with meta-GGA SCAN.

Summary:
The value obtained for the raw total energy is -10.62 eV/atom. Its formation energy (no corrections) is -0.775 eV/atom.

Unit cell a=2.8675 b=2.8675 c=17.1466 alpha=90.00 beta=90.00 gamma=120.00
Last column: nearest neighbours and their distance in Å.
Space group R-3m (No. 166, hexagonal axes)
Symmetry-distinct sites (fractional):
Co 0.0000 0.0000 0.0000 (multiplicity 3)  6 O 1.91
S 0.0000 0.0000 0.5000 (multiplicity 3)  2 O 1.90
O 0.0000 0.0000 0.3889 (multiplicity 6)  1 S 1.90, 3 Co 1.91

A crystal of CoS2O8 relaxed with PBEsol, computed with meta-GGA SCAN.

Summary:
The value obtained for the raw total energy is -9.09 eV/atom. Its formation energy (no corrections) is -1.237 eV/atom.

Unit cell a=7.8877 b=7.8877 c=21.8454 alpha=90.00 beta=90.00 gamma=120.00
Last column: nearest neighbours and their distance in Å.
Space group R3 (No. 146, hexagonal axes)
Symmetry-distinct sites (fractional):
Co 0.0000 0.0000 0.0000 (multiplicity 3)  6 O 1.85-1.89
Co 0.0000 0.0000 0.2029 (multiplicity 3)  6 O 1.82-1.89
Co 0.0000 0.0000 0.4940 (multiplicity 3)  6 O 1.88-1.91
S 0.0096 0.2813 0.1000 (multiplicity 9)  4 O 1.42-1.53
S 0.0433 0.6710 0.2648 (multiplicity 9)  4 O 1.42-1.52
O 0.0275 0.1955 0.4366 (multiplicity 9)  1 S 1.50
O 0.0392 0.8178 0.5383 (multiplicity 9)  1 S 1.52
O 0.0715 0.2180 0.1569 (multiplicity 9)  1 S 1.51
O 0.0750 0.5270 0.4283 (multiplicity 9)  1 S 1.42
O 0.0960 0.2277 0.0457 (multiplicity 9)  1 S 1.53
O 0.1781 0.7400 0.9156 (multiplicity 9)  1 S 1.52
O 0.1937 0.7779 0.3085 (multiplicity 9)  1 S 1.42
O 0.1995 0.7564 0.6161 (multiplicity 9)  1 S 1.50

A crystal of Co2S3O12 relaxed with PBEsol, computed with meta-GGA SCAN.

Summary:
The value obtained for the raw total energy is -9.51 eV/atom. Its formation energy (no corrections) is -1.377 eV/atom.

Unit cell a=8.5000 b=8.5000 c=21.1017 alpha=90.00 beta=90.00 gamma=120.00
Last column: nearest neighbours and their distance in Å.
Space group R-3c (No. 167, hexagonal axes)
Symmetry-distinct sites (fractional):
Co 0.0000 0.0000 0.1420 (multiplicity 12)  6 O 1.96-1.97
S 0.0000 0.2914 0.2500 (multiplicity 18)  4 O 1.48
O 0.0114 0.1994 0.1923 (multiplicity 36)  1 S 1.48
O 0.0230 0.1930 0.9154 (multiplicity 36)  1 S 1.48

A crystal of Co2S3O12 relaxed with PBEsol, computed with meta-GGA SCAN.

Summary:
The value obtained for the raw total energy is -9.51 eV/atom. Its formation energy (no corrections) is -1.377 eV/atom.

Unit cell a=11.7828 b=8.5057 c=8.4385 alpha=90.00 beta=90.00 gamma=90.00
Last column: nearest neighbours and their distance in Å.
Space group Pbcn (No. 60)
Symmetry-distinct sites (fractional):
Co 0.1184 0.2494 0.0350 (multiplicity 8)  6 O 1.96-1.98
S 0.0000 0.4587 0.7500 (multiplicity 4)  4 O 1.47-1.48
S 0.1472 0.1045 0.3949 (multiplicity 8)  4 O 1.47-1.48
O 0.0301 0.1497 0.4354 (multiplicity 8)  1 S 1.47
O 0.0680 0.4442 0.1410 (multiplicity 8)  1 S 1.47
O 0.0798 0.3562 0.8367 (multiplicity 8)  1 S 1.48
O 0.1610 0.0682 0.9012 (multiplicity 8)  1 S 1.48
O 0.1762 0.1558 0.2326 (multiplicity 8)  1 S 1.48
O 0.2240 0.1773 0.5126 (multiplicity 8)  1 S 1.48

A crystal of Co2S2O relaxed with PBEsol, computed with meta-GGA SCAN.

Summary:
The value obtained for the raw total energy is -11.51 eV/atom. Its formation energy (no corrections) is 0.508 eV/atom.

Unit cell a=6.3181 b=6.3181 c=2.7950 alpha=90.00 beta=90.00 gamma=90.00
Last column: nearest neighbours and their distance in Å.
Space group P4/mbm (No. 127)
Symmetry-distinct sites (fractional):
Co 0.1335 0.3665 0.0000 (multiplicity 4)  6 S 2.32-2.33, 1 Co 2.39
S 0.1576 0.6576 0.5000 (multiplicity 4)  6 Co 2.32-2.33, 2 O 2.38
O 0.0000 0.0000 0.5000 (multiplicity 2)  4 S 2.38

A crystal of CoSO4 relaxed with PBEsol, computed with meta-GGA SCAN.

Summary:
The value obtained for the raw total energy is -10.15 eV/atom. Its formation energy (no corrections) is -1.507 eV/atom.

Unit cell a=5.1817 b=7.8493 c=6.4159 alpha=90.00 beta=90.00 gamma=90.00
Last column: nearest neighbours and their distance in Å.
Space group Cmcm (No. 63)
Symmetry-distinct sites (fractional):
Co 0.0000 0.0000 0.0000 (multiplicity 4)  6 O 1.97-2.13
S 0.0000 0.3487 0.2500 (multiplicity 4)  4 O 1.47-1.51
O 0.0000 0.2469 0.0578 (multiplicity 8)  1 S 1.47
O 0.2364 0.4606 0.2500 (multiplicity 8)  1 S 1.51

A crystal of Tb2CoTe2S2O14 relaxed with PBEsol, computed with meta-GGA SCAN.

Summary:
The value obtained for the raw total energy is -16.00 eV/atom. Its formation energy (no corrections) is -2.101 eV/atom.

Unit cell a=5.2230 b=7.7816 c=7.9891 alpha=62.99 beta=73.08 gamma=85.21
Last column: nearest neighbours and their distance in Å.
Space group P-1 (No. 2)
Symmetry-distinct sites (fractional):
Tb 0.0670 0.2522 0.0175 (multiplicity 2)  8 O 2.24-2.50
Co 0.0000 0.0000 0.5000 (multiplicity 1)  6 O 2.01-2.10
Te 0.4993 0.7316 0.6493 (multiplicity 2)  3 O 1.90-1.93
S 0.2499 0.7518 0.2546 (multiplicity 2)  4 O 1.48-1.50
O 0.1260 0.5847 0.2589 (multiplicity 2)  1 S 1.48
O 0.1390 0.7668 0.4399 (multiplicity 2)  1 S 1.48
O 0.1807 0.9237 0.0889 (multiplicity 2)  1 S 1.50
O 0.2512 0.5602 0.8885 (multiplicity 2)  1 Te 1.91
O 0.2601 0.9322 0.6598 (multiplicity 2)  1 Te 1.93, 1 Co 2.01
O 0.2715 0.1896 0.2488 (multiplicity 2)  1 Te 1.90, 1 Co 2.05
O 0.4579 0.2645 0.7800 (multiplicity 2)  1 S 1.48

A crystal of Co2SbO relaxed with PBEsol, computed with meta-GGA SCAN.

Summary:
The value obtained for the raw total energy is -19.11 eV/atom. Its formation energy (no corrections) is 0.419 eV/atom.

Unit cell a=5.7648 b=5.7648 c=5.7648 alpha=90.00 beta=90.00 gamma=90.00
Last column: nearest neighbours and their distance in Å.
Space group Fm-3m (No. 225)
Symmetry-distinct sites (fractional):
Co 0.2500 0.2500 0.2500 (multiplicity 8)  4 O 2.50, 4 Sb 2.50
Sb 0.0000 0.0000 0.0000 (multiplicity 4)  8 Co 2.50
O 0.0000 0.0000 0.5000 (multiplicity 4)  8 Co 2.50

A crystal of CoSbO4 relaxed with PBEsol, computed with meta-GGA SCAN.

Summary:
The value obtained for the raw total energy is -14.62 eV/atom. Its formation energy (no corrections) is -1.370 eV/atom.

Unit cell a=5.6255 b=6.2653 c=8.2342 alpha=90.00 beta=90.00 gamma=90.00
Last column: nearest neighbours and their distance in Å.
Space group Imma (No. 74)
Symmetry-distinct sites (fractional):
Co 0.2500 0.2500 0.2500 (multiplicity 4)  6 O 1.89-1.92
Sb 0.0000 0.0000 0.0000 (multiplicity 4)  6 O 2.01-2.07
O 0.0000 0.0479 0.2416 (multiplicity 8)  2 Co 1.89, 1 Sb 2.01
O 0.2392 0.2500 0.0169 (multiplicity 8)  1 Co 1.92, 2 Sb 2.07

A crystal of CoSbTe2O relaxed with PBEsol, computed with meta-GGA SCAN.

Summary:
The value obtained for the raw total energy is -26.33 eV/atom. Its formation energy (no corrections) is 0.729 eV/atom.

Unit cell a=4.8806 b=4.8806 c=4.7768 alpha=90.00 beta=90.00 gamma=90.00
Last column: nearest neighbours and their distance in Å.
Space group P4/mmm (No. 123)
Symmetry-distinct sites (fractional):
Co 0.0000 0.0000 0.0000 (multiplicity 1)  2 Sb 2.39, 4 Te 2.44
Sb 0.0000 0.0000 0.5000 (multiplicity 1)  2 Co 2.39
Te 0.0000 0.5000 0.0000 (multiplicity 2)  2 Co 2.44
O 0.5000 0.5000 0.5000 (multiplicity 1)  8 Te 3.41, 4 Sb 3.45

A crystal of ScCo3O relaxed with PBEsol, computed with meta-GGA SCAN.

Summary:
The value obtained for the raw total energy is -12.58 eV/atom. Its formation energy (no corrections) is 1.900 eV/atom.

Unit cell a=4.3226 b=4.3226 c=4.3226 alpha=90.00 beta=90.00 gamma=90.00
Last column: nearest neighbours and their distance in Å.
Space group Pm-3m (No. 221)
Symmetry-distinct sites (fractional):
Sc 0.0000 0.0000 0.0000 (multiplicity 1)  6 Co 2.16
Co 0.0000 0.0000 0.5000 (multiplicity 3)  2 Sc 2.16
O 0.5000 0.5000 0.5000 (multiplicity 1)  12 Co 3.06

A crystal of CoSeO2 relaxed with PBEsol, computed with meta-GGA SCAN.

Summary:
The value obtained for the raw total energy is -13.34 eV/atom. Its formation energy (no corrections) is -0.881 eV/atom.

Unit cell a=2.9134 b=2.9134 c=17.9716 alpha=90.00 beta=90.00 gamma=120.00
Last column: nearest neighbours and their distance in Å.
Space group R-3m (No. 166, hexagonal axes)
Symmetry-distinct sites (fractional):
Co 0.0000 0.0000 0.0000 (multiplicity 3)  6 O 1.92
Se 0.0000 0.0000 0.5000 (multiplicity 3)  2 O 2.06
O 0.0000 0.0000 0.3853 (multiplicity 6)  3 Co 1.92, 1 Se 2.06

A crystal of CoSeO4 relaxed with PBEsol, computed with meta-GGA SCAN.

Summary:
The value obtained for the raw total energy is -11.30 eV/atom. Its formation energy (no corrections) is -0.911 eV/atom.

Unit cell a=5.4677 b=8.0867 c=6.4309 alpha=90.00 beta=90.00 gamma=90.00
Last column: nearest neighbours and their distance in Å.
Space group Cmcm (No. 63)
Symmetry-distinct sites (fractional):
Co 0.0000 0.0000 0.0000 (multiplicity 4)  6 O 1.93-2.11
Se 0.0000 0.3500 0.2500 (multiplicity 4)  4 O 1.68-1.71
O 0.0000 0.2379 0.0309 (multiplicity 8)  1 Se 1.68
O 0.2457 0.0259 0.7500 (multiplicity 8)  1 Se 1.71

A crystal of Co3SeO relaxed with PBEsol, computed with meta-GGA SCAN.

Summary:
The value obtained for the raw total energy is -15.63 eV/atom. Its formation energy (no corrections) is 0.011 eV/atom.

Unit cell a=3.8314 b=3.8314 c=3.8314 alpha=90.00 beta=90.00 gamma=90.00
Last column: nearest neighbours and their distance in Å.
Space group Pm-3m (No. 221)
Symmetry-distinct sites (fractional):
Co 0.0000 0.0000 0.5000 (multiplicity 3)  2 O 1.92
Se 0.5000 0.5000 0.5000 (multiplicity 1)  12 Co 2.71
O 0.0000 0.0000 0.0000 (multiplicity 1)  6 Co 1.92

A crystal of Co2SeO2 relaxed with PBEsol, computed with meta-GGA SCAN.

Summary:
The value obtained for the raw total energy is -13.19 eV/atom. Its formation energy (no corrections) is 0.244 eV/atom.

Unit cell a=3.4790 b=3.4790 c=5.0386 alpha=90.00 beta=90.00 gamma=90.00
Last column: nearest neighbours and their distance in Å.
Space group P4/mmm (No. 123)
Symmetry-distinct sites (fractional):
Co 0.0000 0.5000 0.0000 (multiplicity 2)  2 O 1.74
Se 0.0000 0.0000 0.5000 (multiplicity 1)  4 O 2.46
O 0.5000 0.5000 0.0000 (multiplicity 1)  4 Co 1.74
O 0.5000 0.5000 0.5000 (multiplicity 1)  4 Se 2.46, 2 O 2.52

A crystal of CoSe2O relaxed with PBEsol, computed with meta-GGA SCAN.

Summary:
The value obtained for the raw total energy is -16.13 eV/atom. Its formation energy (no corrections) is -0.204 eV/atom.

Unit cell a=3.5804 b=3.5804 c=17.9188 alpha=90.00 beta=90.00 gamma=120.00
Last column: nearest neighbours and their distance in Å.
Space group R-3m (No. 166, hexagonal axes)
Symmetry-distinct sites (fractional):
Co 0.0000 0.0000 0.0000 (multiplicity 3)  6 Se 2.35
Se 0.0000 0.0000 0.3953 (multiplicity 6)  1 O 1.88
O 0.0000 0.0000 0.5000 (multiplicity 3)  2 Se 1.88